1.
First-principles (GGA-PBE) data for a relaxed structure of RbDyIn2I6, as listed in Alexandria.

a b c (Å): 8.6548 8.6532 9.1199
angles (deg): 61.65 61.65 59.98
Closest atoms and distances in Å follow each position.
Fractional positions:
I  0.9713  0.5587  0.2371  1 Dy 3.03
In  0.5183  0.5182  0.4447  6 I 3.46-3.57
I  0.5585  0.2331  0.2371  1 Dy 3.03
I  0.6955  0.1386  0.7704  1 Dy 3.08, 1 In 3.45
I  0.1387  0.3957  0.7704  1 Dy 3.08, 1 In 3.45
I  0.3956  0.6954  0.7701  1 Dy 3.08, 1 In 3.45
Dy  0.3264  0.3264  0.0209  6 I 3.03-3.08
In  0.0078  0.0078  0.9766  6 I 3.45-3.55
Rb  0.8164  0.8165  0.5508  6 I 3.64-3.79
I  0.2331  0.9713  0.2371  1 Dy 3.03

Output
Total magnetization, μB per formula unit: 0.00
ρ, g/cm³: 4.16
Formation energy without anion corrections, eV per atom: -1.038
Electronic total energy, eV/cell: -30.73
Crystal system: trigonal



2.
First-principles (GGA-PBE) data for a relaxed structure of SrDyInI6, as listed in Alexandria.

a b c (Å): 8.1603 8.1603 15.0484
angles (deg): 90.00 90.00 120.00
Closest atoms and distances in Å follow each position.
Fractional positions:
Sr  0.6667  0.3333  0.7500  6 I 3.30
In  0.0000  0.0000  0.5000  6 I 3.54
I  0.6527  0.0235  0.3687  1 Dy 3.05, 1 Sr 3.30
I  0.9765  0.3473  0.1313  1 Dy 3.05, 1 Sr 3.30
I  0.0235  0.6527  0.8687  1 Dy 3.05, 1 Sr 3.30
I  0.6292  0.6527  0.6313  1 Dy 3.05, 1 Sr 3.30
In  0.0000  0.0000  0.0000  6 I 3.54
I  0.0235  0.3708  0.6313  1 Dy 3.05, 1 Sr 3.30
I  0.3473  0.3708  0.8687  1 Dy 3.05, 1 Sr 3.30
I  0.6527  0.6292  0.1313  1 Dy 3.05, 1 Sr 3.30
I  0.9765  0.6292  0.3687  1 Dy 3.05, 1 Sr 3.30
I  0.6292  0.9765  0.8687  1 Dy 3.05, 1 Sr 3.30
Sr  0.3333  0.6667  0.2500  6 I 3.30
Dy  0.3333  0.6667  0.7500  6 I 3.05
I  0.3473  0.9765  0.6313  1 Dy 3.05, 1 Sr 3.30
Dy  0.6667  0.3333  0.2500  6 I 3.05
I  0.3708  0.0235  0.1313  1 Dy 3.05, 1 Sr 3.30
I  0.3708  0.3473  0.3687  1 Dy 3.05, 1 Sr 3.30

Output
Total magnetization, μB per formula unit: 0.00
ρ, g/cm³: 4.31
Formation energy without anion corrections, eV per atom: -1.284
Electronic total energy, eV/cell: -59.76
Crystal system: trigonal



3.
First-principles (GGA-PBE) data for a relaxed structure of DyTlIn2I6, as listed in Alexandria.

a b c (Å): 8.5760 8.5720 8.9811
angles (deg): 61.43 61.39 59.86
Closest atoms and distances in Å follow each position.
Fractional positions:
Tl  0.8175  0.8179  0.5463  6 I 3.47-3.62
I  0.4196  0.6874  0.7695  1 Dy 3.07
Dy  0.3257  0.3255  0.0229  6 I 3.03-3.07
I  0.5637  0.2170  0.2440  1 Dy 3.03
In  0.5211  0.5205  0.4381  6 I 3.46-3.57
I  0.9746  0.5651  0.2433  1 Dy 3.03
In  0.0110  0.0114  0.9669  6 I 3.48-3.51
I  0.2169  0.9748  0.2439  1 Dy 3.03
I  0.6881  0.1221  0.7704  1 Dy 3.07
I  0.1232  0.4198  0.7699  1 Dy 3.07

Output
Total magnetization, μB per formula unit: 0.00
ρ, g/cm³: 4.74
Formation energy without anion corrections, eV per atom: -0.867
Electronic total energy, eV/cell: -30.42
Crystal system: triclinic



4.
First-principles (GGA-PBE) data for a relaxed structure of DyTl3In3I8, as listed in Alexandria.

a b c (Å): 10.0375 10.1447 9.9242
angles (deg): 121.41 90.00 119.65
Closest atoms and distances in Å follow each position.
Fractional positions:
Tl  0.0000  0.5000  0.0000  6 I 3.56
Tl  0.0000  0.0000  0.0000  6 I 3.55-3.57
I  0.7483  0.4965  0.7442  3 In 3.50-3.51, 3 Tl 3.55-3.56
Dy  0.0000  0.0000  0.5000  6 I 3.06
In  0.5000  0.0000  0.5000  6 I 3.51-3.55
Tl  0.5000  0.5000  0.0000  6 I 3.56
In  0.5000  0.5000  0.5000  6 I 3.50-3.57
I  0.7812  0.9982  0.7149  1 Dy 3.06
I  0.2167  0.4333  0.7148  1 Dy 3.06
I  0.2517  0.5035  0.2558  3 In 3.50-3.51, 3 Tl 3.55-3.56
In  0.0000  0.5000  0.5000  6 I 3.50-3.57
I  0.2170  0.9982  0.7149  1 Dy 3.06
I  0.7830  0.0018  0.2851  1 Dy 3.06
I  0.7833  0.5667  0.2852  1 Dy 3.06
I  0.2188  0.0018  0.2851  1 Dy 3.06

Output
Total magnetization, μB per formula unit: 0.00
ρ, g/cm³: 5.05
Formation energy without anion corrections, eV per atom: -0.669
Electronic total energy, eV/cell: -42.36
Crystal system: monoclinic



5.
First-principles (GGA-PBE) data for a relaxed structure of Dy4Ir2I5, as listed in Alexandria.

a b c (Å): 4.1195 8.3355 12.3108
angles (deg): 89.81 99.63 90.00
Closest atoms and distances in Å follow each position.
Fractional positions:
I  0.2043  0.3216  0.4085  2 Dy 3.08
Dy  0.9692  0.3058  0.9385  2 Ir 2.73
Dy  0.6571  0.5599  0.3143  1 Ir 2.59
I  0.5000  0.0000  0.0000  4 Dy 3.36
I  0.7957  0.6784  0.5915  2 Dy 3.08
Dy  0.3429  0.4401  0.6857  1 Ir 2.59
Ir  0.5534  0.4887  0.1068  3 Dy 2.59-2.73, 1 Ir 2.60
I  0.1524  0.8404  0.3048  3 Dy 3.12-3.20
Ir  0.4466  0.5113  0.8932  3 Dy 2.59-2.73, 1 Ir 2.60
I  0.8476  0.1596  0.6952  3 Dy 3.12-3.20
Dy  0.0308  0.6942  0.0615  2 Ir 2.73

Output
Total magnetization, μB per formula unit: 0.00
ρ, g/cm³: 6.65
Formation energy without anion corrections, eV per atom: -0.950
Electronic total energy, eV/cell: -54.34
Crystal system: monoclinic



6.
First-principles (GGA-PBE) data for a relaxed structure of DyIrI, as listed in Alexandria.

a b c (Å): 4.5607 5.0829 12.7159
angles (deg): 122.08 79.67 63.34
Closest atoms and distances in Å follow each position.
Fractional positions:
Ir  0.3791  0.5553  0.6865  2 I 2.70, 4 Dy 2.71-2.97
Dy  0.1797  0.0250  0.6156  4 Ir 2.71-2.97
Ir  0.6209  0.4447  0.3135  2 I 2.70, 4 Dy 2.71-2.97
I  0.4058  0.0068  0.1816  2 Ir 2.70
Dy  0.8203  0.9750  0.3844  4 Ir 2.71-2.97
I  0.5942  0.9932  0.8184  2 Ir 2.70

Output
Total magnetization, μB per formula unit: 0.00
ρ, g/cm³: 8.59
Formation energy without anion corrections, eV per atom: -0.375
Electronic total energy, eV/cell: -32.28
Crystal system: monoclinic



7.
First-principles (GGA-PBE) data for a relaxed structure of Dy2IrI, as listed in Alexandria.

a b c (Å): 4.1174 4.1174 8.2158
angles (deg): 75.49 75.49 60.00
Closest atoms and distances in Å follow each position.
Fractional positions:
Dy  0.7264  0.7264  0.8209  3 Ir 2.76
Dy  0.2736  0.2736  0.1791  3 Ir 2.76
I  0.5000  0.5000  0.5000  6 Dy 3.47
Ir  0.0000  0.0000  0.0000  6 Dy 2.76

Output
Total magnetization, μB per formula unit: 0.00
ρ, g/cm³: 9.26
Formation energy without anion corrections, eV per atom: -0.981
Electronic total energy, eV/cell: -23.54
Crystal system: trigonal



8.
First-principles (GGA-PBE) data for a relaxed structure of Dy2IrI, as listed in Alexandria.

a b c (Å): 4.1414 4.1414 8.2298
angles (deg): 82.79 82.79 60.26
Closest atoms and distances in Å follow each position.
Fractional positions:
Dy  0.1992  0.1992  0.4336  3 Ir 2.79-2.80
Dy  0.9214  0.9214  0.0908  3 Ir 2.73-2.76
I  0.8172  0.8172  0.7187  4 Dy 3.25-3.34
Ir  0.5622  0.5622  0.2569  6 Dy 2.73-2.80

Output
Total magnetization, μB per formula unit: 0.00
ρ, g/cm³: 8.82
Formation energy without anion corrections, eV per atom: -0.960
Electronic total energy, eV/cell: -23.45
Crystal system: monoclinic



9.
First-principles (GGA-PBE) data for a relaxed structure of Dy2IrI2, as listed in Alexandria.

a b c (Å): 4.1346 4.1348 12.0101
angles (deg): 81.20 80.09 60.00
Closest atoms and distances in Å follow each position.
Fractional positions:
Dy  0.7136  0.1997  0.3731  3 Ir 2.82
I  0.4467  0.9129  0.1936  3 Dy 3.19
Ir  0.0000  0.5000  0.5000  6 Dy 2.82
Dy  0.2864  0.8003  0.6269  3 Ir 2.82
I  0.5533  0.0871  0.8064  3 Dy 3.19

Output
Total magnetization, μB per formula unit: 0.00
ρ, g/cm³: 7.33
Formation energy without anion corrections, eV per atom: -1.077
Electronic total energy, eV/cell: -26.55
Crystal system: monoclinic



10.
First-principles (GGA-PBE) data for a relaxed structure of La2DyIr2I2, as listed in Alexandria.

a b c (Å): 5.1954 5.1954 9.1573
angles (deg): 106.48 106.48 90.00
Closest atoms and distances in Å follow each position.
Fractional positions:
La  0.6033  0.6032  0.2065  4 Ir 3.12, 1 I 3.45, 1 La 3.46
I  0.8089  0.8089  0.6179  1 Dy 3.21, 1 La 3.45
I  0.1911  0.1911  0.3821  1 Dy 3.21, 1 La 3.45
Ir  0.0000  0.5000  0.0000  2 Dy 2.60
La  0.3967  0.3968  0.7935  4 Ir 3.12, 1 I 3.45, 1 La 3.46
Ir  0.5000  0.0000  0.0000  2 Dy 2.60
Dy  0.0000  0.0000  0.0000  4 Ir 2.60

Output
Total magnetization, μB per formula unit: 0.00
ρ, g/cm³: 7.91
Formation energy without anion corrections, eV per atom: -0.759
Electronic total energy, eV/cell: -40.59
Crystal system: tetragonal